# 1
Here is a geometry-optimized Sc2VCoMo structure from Alexandria. Energies are from GGA-PBE.

Values from the calculation:
Calculated formation energy: 1.13 eV/atom
Uncorrected energy: -34.1 eV for the cell shown

Cell: 4.935 4.311 4.935 Å, 90.00 90.00 90.00°
Atoms (fractional coordinates):
Co1 0.000 0.500 0.000
V1 0.500 0.500 0.500
Sc1 0.500 0.000 0.000
Sc2 0.000 0.000 0.500
Mo1 0.000 0.000 0.000

=====

# 2
Here is a geometry-optimized CrCoIr2 structure from Alexandria. Energies are from GGA-PBE.

Values from the calculation:
Calculated formation energy: 0.30 eV/atom
Uncorrected energy: -33.3 eV for the cell shown

Cell: 2.640 2.640 8.755 Å, 90.00 90.00 117.59°
Atoms (fractional coordinates):
Co1 0.000 0.000 0.512
Cr1 0.500 0.500 0.741
Ir1 0.500 0.500 0.263
Ir2 0.000 0.000 0.984

=====

# 3
Here is a geometry-optimized Y2ScCu2 structure from Alexandria. Energies are from GGA-PBE.

Values from the calculation:
Calculated formation energy: 0.04 eV/atom
ΔE to the lowest computed polymorph: 0.202 eV/atom
Uncorrected energy: -27.2 eV for the cell shown

Cell: 5.487 5.487 5.542 Å, 60.33 60.33 90.00°
Atoms (fractional coordinates):
Sc1 0.000 0.000 0.000
Cu1 0.353 0.353 0.294
Cu2 0.647 0.647 0.706
Y1 0.750 0.250 0.500
Y2 0.250 0.750 0.500

=====

# 4
Here is a geometry-optimized MnPdPt2Br structure from Alexandria. Energies are from GGA-PBE.

Values from the calculation:
Uncorrected energy: -20.6 eV for the cell shown

Cell: 4.982 4.452 4.982 Å, 90.00 90.00 90.00°
Atoms (fractional coordinates):
Pt1 0.500 0.000 0.000
Pt2 0.000 0.000 0.500
Mn1 0.000 0.500 0.000
Br1 0.500 0.500 0.500
Pd1 0.000 0.000 0.000

=====

# 5
Here is a geometry-optimized MnAlTcN2 structure from Alexandria. Energies are from GGA-PBE.

Values from the calculation:
Uncorrected energy: -34.8 eV for the cell shown

Cell: 3.605 5.066 3.605 Å, 90.00 90.00 90.00°
Atoms (fractional coordinates):
Tc1 0.500 0.500 0.500
N1 0.500 0.000 0.000
N2 0.000 0.000 0.500
Al1 0.000 0.500 0.000
Mn1 0.000 0.000 0.000

=====

# 6
Here is a geometry-optimized MgRu2Pb structure from Alexandria. Energies are from GGA-PBE.

Values from the calculation:
Calculated formation energy: 0.24 eV/atom
Uncorrected energy: -22.9 eV for the cell shown

Cell: 4.520 4.521 3.292 Å, 90.00 90.00 90.00°
Atoms (fractional coordinates):
Pb1 0.000 0.500 0.500
Mg1 0.500 0.000 0.500
Ru1 0.500 0.500 0.000
Ru2 0.000 0.000 0.000

=====

# 7
Here is a geometry-optimized TmZrGa6 structure from Alexandria. Energies are from GGA-PBE.

Values from the calculation:
Calculated formation energy: -0.50 eV/atom
Uncorrected energy: -35.2 eV for the cell shown

Cell: 4.165 5.909 5.909 Å, 90.00 90.00 90.00°
Atoms (fractional coordinates):
Zr1 0.500 0.500 0.500
Ga1 0.500 0.000 0.500
Ga2 0.000 0.748 0.748
Ga3 0.000 0.252 0.252
Ga4 0.000 0.252 0.748
Ga5 0.000 0.748 0.252
Ga6 0.500 0.500 0.000
Tm1 0.500 0.000 0.000

=====

# 8
Here is a geometry-optimized LaCe2NdTl4 structure from Alexandria. Energies are from GGA-PBE.

Values from the calculation:
Calculated formation energy: -0.30 eV/atom
Uncorrected energy: -33.4 eV for the cell shown

Cell: 5.555 5.555 9.621 Å, 73.22 73.22 60.00°
Atoms (fractional coordinates):
Ce1 0.750 0.750 0.750
Ce2 0.250 0.250 0.250
La1 0.000 0.000 0.000
Tl1 0.376 0.376 0.872
Tl2 0.126 0.126 0.622
Tl3 0.874 0.874 0.378
Tl4 0.624 0.624 0.128
Nd1 0.500 0.500 0.500

=====

# 9
Here is a geometry-optimized Al3GeBi structure from Alexandria. Energies are from GGA-PBE.

Values from the calculation:
Calculated formation energy: 1.19 eV/atom
ΔE to the lowest computed polymorph: 0.758 eV/atom
Uncorrected energy: -13.8 eV for the cell shown

Cell: 5.450 5.450 5.450 Å, 90.00 90.00 90.00°
Atoms (fractional coordinates):
Ge1 0.500 0.500 0.500
Bi1 0.000 0.000 0.000
Al1 0.500 0.000 0.000
Al2 0.000 0.000 0.500
Al3 0.000 0.500 0.000

=====

# 10
Here is a geometry-optimized Ce3HoGe2 structure from Alexandria. Energies are from GGA-PBE.

Values from the calculation:
Calculated formation energy: -0.50 eV/atom
Uncorrected energy: -69.2 eV for the cell shown

Cell: 4.127 8.889 8.897 Å, 114.48 90.00 103.42°
Atoms (fractional coordinates):
Ce1 0.069 0.139 0.440
Ce2 0.379 0.758 0.320
Ce3 0.621 0.242 0.680
Ce4 0.718 0.437 0.396
Ce5 0.931 0.861 0.560
Ce6 0.282 0.563 0.604
Ho1 0.891 0.782 0.969
Ho2 0.109 0.218 0.031
Ge1 0.522 0.045 0.168
Ge2 0.478 0.955 0.832
Ge3 0.252 0.503 0.909
Ge4 0.748 0.497 0.091

=====

# 11
Here is a geometry-optimized Nd3Ho8Tm2 structure from Alexandria. Energies are from GGA-PBE.

Values from the calculation:
Calculated formation energy: 0.25 eV/atom
ΔE to the lowest computed polymorph: 0.009 eV/atom
Uncorrected energy: -56.7 eV for the cell shown

Cell: 5.630 7.715 10.670 Å, 111.20 90.03 90.00°
Atoms (fractional coordinates):
Nd1 0.000 0.707 0.000
Nd2 0.500 0.000 0.000
Nd3 0.000 0.293 0.000
Ho1 0.000 0.864 0.728
Ho2 0.999 0.327 0.654
Ho3 0.500 0.599 0.780
Ho4 0.500 0.401 0.220
Ho5 0.500 0.181 0.780
Ho6 0.001 0.673 0.346
Ho7 0.500 0.819 0.220
Ho8 0.000 0.136 0.272
Tm1 0.501 0.759 0.518
Tm2 0.499 0.241 0.482

=====

# 12
Here is a geometry-optimized NaCaPb2 structure from Alexandria. Energies are from GGA-PBE.

Values from the calculation:
Calculated formation energy: -0.21 eV/atom
ΔE to the lowest computed polymorph: 0.132 eV/atom
Uncorrected energy: -11.6 eV for the cell shown

Cell: 3.725 3.725 10.595 Å, 79.88 79.88 60.00°
Atoms (fractional coordinates):
Pb1 0.249 0.249 0.252
Pb2 0.084 0.084 0.748
Na1 0.500 0.500 0.500
Ca1 0.667 0.667 0.000

=====

> The lowest uncorrected energy belongs to which entry?

Ce3HoGe2